# 1
DFT (PBE-GGA) results for crystalline MgZrTi at its relaxed geometry.

Computed properties:
energy above the most stable polymorph in this dataset = 0.000 eV per atom
E_form = 5 meV per atom

```
MgZrTi
1.0
-0.8796 2.8624 -0.4107
-2.8926 -0.8561 0.1948
0.3101 2.0442 13.5788
Mg Zr Ti
2 2 2
Direct
0.8732 0.2927 0.1661
0.3734 0.7938 0.3461
0.8719 0.2905 0.5301
0.3719 0.7904 0.9822
0.8722 0.2896 0.8261
0.3720 0.7896 0.6862
```

=====

# 2
DFT (PBE-GGA) results for crystalline LiSbPbI2 at its relaxed geometry.

Computed properties:
energy above the most stable polymorph in this dataset = 0.074 eV per atom

```
LiSbPbI2
1.0
6.3418 0.0000 0.0000
0.0000 6.3418 0.0000
0.0000 0.0000 6.1049
Pb I Li Sb
1 2 1 1
Direct
0.0000 0.0000 0.0000
0.0000 0.5000 0.0000
0.5000 0.0000 0.0000
0.5000 0.5000 0.5000
0.0000 0.0000 0.5000
```

=====

# 3
DFT (PBE-GGA) results for crystalline Sc2AsPd at its relaxed geometry.

Computed properties:
E_form = -432 meV per atom

```
Sc2AsPd
1.0
6.0235 4.8801 3.4907
6.4319 1.8120 5.2565
7.9395 2.2402 2.0564
Sc As Pd
2 1 1
Direct
0.8993 0.8993 0.8993
0.1007 0.1007 0.1007
0.5000 0.5000 0.5000
0.0000 0.0000 0.0000
```

=====

# 4
DFT (PBE-GGA) results for crystalline BC3 at its relaxed geometry.

Computed properties:
energy above the most stable polymorph in this dataset = 0.061 eV per atom
E_form = 301 meV per atom

```
BC3
1.0
-1.4421 -2.0576 -0.4164
2.3465 -2.2979 3.2284
-4.1871 2.0640 4.3023
B C
3 9
Direct
0.5000 0.8262 0.3342
0.5000 0.1729 0.9145
0.0000 0.6606 0.6661
0.5000 0.4878 0.2516
0.5000 0.5092 0.0036
0.0000 0.3282 0.5762
0.0000 0.3306 0.3269
0.0000 0.0115 0.2424
0.0000 0.9853 0.0080
0.0000 0.6668 0.9341
0.5000 0.1681 0.6486
0.5000 0.8527 0.5938
```

=====

# 5
DFT (PBE-GGA) results for crystalline Dy3HoZn8 at its relaxed geometry.

Computed properties:
E_form = -334 meV per atom

```
Dy3HoZn8
1.0
5.4647 0.0000 0.0000
2.7324 4.7326 0.0000
2.7324 1.5775 8.8756
Dy Ho Zn
3 1 8
Direct
0.3752 0.3752 0.8744
0.9997 0.9997 0.0008
0.4999 0.4999 0.5002
0.8751 0.8751 0.3747
0.9373 0.4375 0.1878
0.4378 0.9375 0.6872
0.4375 0.4375 0.1878
0.9375 0.9375 0.6872
0.1875 0.1875 0.4376
0.6875 0.6875 0.9375
0.4375 0.9373 0.1878
0.9375 0.4378 0.6872
```

=====

# 6
DFT (PBE-GGA) results for crystalline AcNiHg at its relaxed geometry.

Computed properties:
energy above the most stable polymorph in this dataset = 0.087 eV per atom
E_form = -304 meV per atom

```
AcNiHg
1.0
4.1710 0.0000 0.0000
0.0000 4.6139 0.0000
0.0000 -2.3070 3.9958
Ni Ac Hg
1 1 1
Direct
0.1673 0.0000 0.0000
0.6664 0.6667 0.3333
0.1664 0.3333 0.6667
```